1.
# Ba3NpGa2O8 | the Alexandria database | PBE-GGA | relaxed
# Calculated total energy   -99.14 eV per cell
data_Ba3NpGa2O8
_chemical_formula_sum 'Ba3 Np1 Ga2 O8'
_cell_length_a 6.020
_cell_length_b 6.020
_cell_length_c 7.647
_cell_angle_alpha 90.00
_cell_angle_beta 90.00
_cell_angle_gamma 120.00
_space_group_name_H-M_alt 'P 1'
_space_group_IT_number 1
loop_
_space_group_symop_operation_xyz
'x,y,z'
loop_
_atom_site_label
_atom_site_fract_x
_atom_site_fract_y
_atom_site_fract_z
_atom_site_occupancy
Ba1 0.000 0.000 0.000 1
Ba2 0.333 0.667 0.666 1
Ba3 0.667 0.333 0.334 1
Np1 0.000 0.000 0.500 1
Ga1 0.333 0.667 0.215 1
Ga2 0.667 0.333 0.785 1
O1 0.169 0.339 0.323 1
O2 0.169 0.831 0.323 1
O3 0.333 0.667 0.981 1
O4 0.339 0.169 0.677 1
O5 0.661 0.831 0.323 1
O6 0.667 0.333 0.019 1
O7 0.831 0.169 0.677 1
O8 0.831 0.661 0.677 1

2.
# SrBi3Au8 | the Alexandria database | PBE-GGA | relaxed
# Polymorph energy (0 for the lowest one)   0 meV per atom
data_SrBi3Au8
_chemical_formula_sum 'Sr1 Bi3 Au8'
_cell_length_a 10.025
_cell_length_b 10.025
_cell_length_c 10.025
_cell_angle_alpha 33.26
_cell_angle_beta 33.26
_cell_angle_gamma 33.26
_space_group_name_H-M_alt 'P 1'
_space_group_IT_number 1
loop_
_space_group_symop_operation_xyz
'x,y,z'
loop_
_atom_site_label
_atom_site_fract_x
_atom_site_fract_y
_atom_site_fract_z
_atom_site_occupancy
Sr1 0.000 0.000 0.000 1
Bi1 0.129 0.129 0.129 1
Bi2 0.498 0.498 0.498 1
Bi3 0.616 0.616 0.616 1
Au1 0.061 0.061 0.562 1
Au2 0.061 0.561 0.561 1
Au3 0.061 0.562 0.061 1
Au4 0.312 0.312 0.312 1
Au5 0.561 0.061 0.561 1
Au6 0.561 0.561 0.061 1
Au7 0.562 0.061 0.061 1
Au8 0.810 0.810 0.810 1

3.
# Pr3Dy5 | the Alexandria database | PBE-GGA | relaxed
# Polymorph energy (0 for the lowest one)   0 meV per atom
data_Pr3Dy5
_chemical_formula_sum 'Pr3 Dy5'
_cell_length_a 7.208
_cell_length_b 7.208
_cell_length_c 5.105
_cell_angle_alpha 90.00
_cell_angle_beta 90.00
_cell_angle_gamma 90.34
_space_group_name_H-M_alt 'P 1'
_space_group_IT_number 1
loop_
_space_group_symop_operation_xyz
'x,y,z'
loop_
_atom_site_label
_atom_site_fract_x
_atom_site_fract_y
_atom_site_fract_z
_atom_site_occupancy
Pr1 0.000 0.000 0.000 1
Pr2 0.252 0.748 0.500 1
Pr3 0.748 0.252 0.500 1
Dy1 0.000 0.500 0.000 1
Dy2 0.251 0.251 0.500 1
Dy3 0.500 0.000 0.000 1
Dy4 0.500 0.500 0.000 1
Dy5 0.749 0.749 0.500 1

4.
# Sr8PdAu2 | the Alexandria database | PBE-GGA | relaxed
# Calculated total energy   -29.95 eV per cell
data_Sr8PdAu2
_chemical_formula_sum 'Sr8 Pd1 Au2'
_cell_length_a 8.338
_cell_length_b 8.338
_cell_length_c 7.445
_cell_angle_alpha 104.43
_cell_angle_beta 104.43
_cell_angle_gamma 71.38
_space_group_name_H-M_alt 'P 1'
_space_group_IT_number 1
loop_
_space_group_symop_operation_xyz
'x,y,z'
loop_
_atom_site_label
_atom_site_fract_x
_atom_site_fract_y
_atom_site_fract_z
_atom_site_occupancy
Sr1 0.079 0.079 0.273 1
Sr2 0.148 0.559 0.251 1
Sr3 0.366 0.366 0.755 1
Sr4 0.441 0.852 0.749 1
Sr5 0.559 0.148 0.251 1
Sr6 0.634 0.634 0.245 1
Sr7 0.852 0.441 0.749 1
Sr8 0.921 0.921 0.727 1
Pd1 0.500 0.500 0.500 1
Au1 0.184 0.184 0.946 1
Au2 0.816 0.816 0.054 1